# 1
# CaMg3 (PBE, relaxed)
data_CaMg3
_symmetry_space_group_name_H-M 'P n m a'
_symmetry_Int_Tables_number 62
_cell_length_a 6.244
_cell_length_b 10.594
_cell_length_c 6.582
_cell_angle_alpha 90.00
_cell_angle_beta 90.00
_cell_angle_gamma 90.00
loop_
_symmetry_equiv_pos_as_xyz
'x,y,z'
'-x,-y,-z'
'-x+1/2,-y,z+1/2'
'x+1/2,y,-z+1/2'
'x+1/2,-y+1/2,-z+1/2'
'-x+1/2,y+1/2,z+1/2'
'-x,y+1/2,-z'
'x,-y+1/2,z'
loop_
_atom_site_label
_atom_site_fract_x
_atom_site_fract_y
_atom_site_fract_z
Ca1 0.040 0.250 0.074
Mg1 0.057 0.250 0.584
Mg2 0.200 0.508 0.327
# calculated volume: 27.21 A^3/atom
# E_form: -0.0069 eV per atom



# 2
# Li2BeNi (PBE, relaxed)
data_Li2BeNi
_symmetry_space_group_name_H-M 'P m m m'
_symmetry_Int_Tables_number 47
_cell_length_a 2.428
_cell_length_b 4.064
_cell_length_c 4.563
_cell_angle_alpha 90.00
_cell_angle_beta 90.00
_cell_angle_gamma 90.00
loop_
_symmetry_equiv_pos_as_xyz
'x,y,z'
'-x,-y,-z'
'-x,-y,z'
'x,y,-z'
'x,-y,-z'
'-x,y,z'
'-x,y,-z'
'x,-y,z'
loop_
_atom_site_label
_atom_site_fract_x
_atom_site_fract_y
_atom_site_fract_z
Li1 0.000 0.000 0.247
Be1 0.500 0.500 0.500
Ni1 0.500 0.500 0.000
# calculated volume: 11.26 A^3/atom
# E_form: 0.1099 eV per atom



# 3
# Ba2AcHg4 (PBE, relaxed)
data_Ba2AcHg4
_symmetry_space_group_name_H-M 'I 4/m m m'
_symmetry_Int_Tables_number 139
_symmetry_space_group_name_Hall '-I 4 2'
_cell_length_a 5.933
_cell_length_b 5.933
_cell_length_c 14.909
_cell_angle_alpha 90.00
_cell_angle_beta 90.00
_cell_angle_gamma 90.00
loop_
_atom_site_label
_atom_site_fract_x
_atom_site_fract_y
_atom_site_fract_z
Ba1 0.000 0.000 0.223
Ac1 0.000 0.000 0.500
Hg1 0.000 0.500 0.109
# calculated volume: 37.49 A^3/atom
# E_form: -0.3951 eV per atom